This record from the Alexandria database describes a PBEsol-optimized structure of Be5Au. The functional is SCAN.

Computed properties:
The calculation puts the energy above the most stable polymorph in this dataset at 0.0000 eV per atom. The value obtained for the energy relative to the elements is -0.23 eV per atom.

Lattice parameters (Å, degrees): 4.2926 4.2926 4.2926 60.00 60.00 60.00
Closest atoms and distances in Å follow each position.
Fractional coordinates of all 6 atoms:
Be 0.0000 0.0000 0.0000  12 Be 2.52, 4 Au 2.63
Be 0.1241 0.6253 0.6253  6 Be 2.14-2.15
Be 0.6253 0.1241 0.6253  6 Be 2.14-2.15
Be 0.6253 0.6253 0.1241  6 Be 2.14-2.15
Be 0.6253 0.6253 0.6253  6 Be 2.14-2.15
Au 0.2500 0.2500 0.2500  16 Be 2.52-2.63